No. 1
A plane-wave DFT calculation with PBE-GGA was carried out for crystalline Nb2VGe4 at its relaxed geometry.

Computed properties:
- DOS at the Fermi energy (states/eV per cell) = 8.21
- raw total energy (eV/f.u.) = -45.15
- total moment (Bohr magnetons per cell) = 0.000

a b c (Å): 7.2489 7.2489 7.2489
angles (deg): 142.05 142.05 54.75
Last column: nearest neighbours and their distance in Å.
Positions (direct):
Nb  0.1022  0.1022  0.0000  1 Nb 2.63, 5 Ge 2.66-2.70
Nb  0.8978  0.8978  0.0000  1 Nb 2.63, 5 Ge 2.66-2.70
V  0.5000  0.5000  0.0000  6 Ge 2.36-2.47
Ge  0.0000  0.5000  0.5000  2 V 2.36
Ge  0.3084  0.3084  0.0000  1 V 2.47, 1 Nb 2.66
Ge  0.5000  0.0000  0.5000  2 V 2.36
Ge  0.6916  0.6916  0.0000  1 V 2.47, 1 Nb 2.66

=====

No. 2
A plane-wave DFT calculation with PBE-GGA was carried out for crystalline NbVGe2 at its relaxed geometry.

Computed properties:
- DOS at the Fermi energy (states/eV per cell) = 9.10
- raw total energy (eV/f.u.) = -27.59
- total moment (Bohr magnetons per cell) = 1.548

a b c (Å): 9.7514 9.7514 9.7514
angles (deg): 157.38 157.38 32.21
Last column: nearest neighbours and their distance in Å.
Positions (direct):
Nb  0.0000  0.0000  0.0000  4 V 2.70, 4 Ge 2.72
Nb  0.7500  0.2500  0.5000  4 V 2.70, 4 Ge 2.72
V  0.2500  0.7500  0.5000  4 Ge 2.69, 4 Nb 2.70
V  0.5000  0.5000  0.0000  4 Ge 2.69, 4 Nb 2.70
Ge  0.1343  0.6250  0.0093  4 Ge 2.66-2.76, 2 V 2.69, 2 Nb 2.72
Ge  0.3750  0.3843  0.5093  4 Ge 2.66-2.76, 2 V 2.69, 2 Nb 2.72
Ge  0.6157  0.1250  0.9907  4 Ge 2.66-2.76, 2 V 2.69, 2 Nb 2.72
Ge  0.8750  0.8657  0.4907  4 Ge 2.66-2.76, 2 V 2.69, 2 Nb 2.72

=====

No. 3
A plane-wave DFT calculation with PBE-GGA was carried out for crystalline Nb3V2Ge4 at its relaxed geometry.

Computed properties:
- DOS at the Fermi energy (states/eV per cell) = 5.46
- raw total energy (eV/f.u.) = -69.07
- total moment (Bohr magnetons per cell) = 0.000

a b c (Å): 6.4318 6.4318 8.4547
angles (deg): 124.37 124.37 31.18
Last column: nearest neighbours and their distance in Å.
Positions (direct):
Nb  0.0000  0.0000  0.0000  6 Ge 2.69-2.84, 4 V 3.00
Nb  0.3583  0.3583  0.3164  7 Ge 2.71-2.77, 2 V 2.84, 1 Nb 3.03
Nb  0.6417  0.6417  0.6836  7 Ge 2.71-2.77, 2 V 2.84, 1 Nb 3.03
V  0.3106  0.3106  0.6531  4 Ge 2.55-2.66, 2 V 2.72, 2 Nb 2.84
V  0.6894  0.6894  0.3469  4 Ge 2.55-2.66, 2 V 2.72, 2 Nb 2.84
Ge  0.0500  0.0500  0.3734  3 V 2.55-2.66, 5 Nb 2.74-2.84
Ge  0.3212  0.3212  0.9666  1 V 2.58, 5 Nb 2.69-2.72, 2 Ge 2.75
Ge  0.6788  0.6788  0.0334  1 V 2.58, 5 Nb 2.69-2.72, 2 Ge 2.75
Ge  0.9500  0.9500  0.6266  3 V 2.55-2.66, 5 Nb 2.74-2.84

=====

No. 4
A plane-wave DFT calculation with PBE-GGA was carried out for crystalline NbVGe at its relaxed geometry.

Computed properties:
- DOS at the Fermi energy (states/eV per cell) = 1.72
- raw total energy (eV/f.u.) = -24.22
- total moment (Bohr magnetons per cell) = 0.000

a b c (Å): 2.8454 2.8457 6.3749
angles (deg): 101.48 96.89 106.47
Last column: nearest neighbours and their distance in Å.
Positions (direct):
Nb  0.0000  0.0000  0.0000  3 Ge 2.72-2.96, 2 V 2.73-2.74, 4 Nb 2.85
V  0.6511  0.7034  0.3492  2 Ge 2.54, 2 Nb 2.73-2.74
Ge  0.3077  0.3506  0.6549  2 V 2.54, 2 Nb 2.72-2.73

=====

No. 5
A plane-wave DFT calculation with PBE-GGA was carried out for crystalline Nb2VGe2 at its relaxed geometry.

Computed properties:
- DOS at the Fermi energy (states/eV per cell) = 8.02
- raw total energy (eV/f.u.) = -40.37
- total moment (Bohr magnetons per cell) = 0.171

a b c (Å): 6.6651 6.6651 3.6399
angles (deg): 90.00 90.00 90.00
Last column: nearest neighbours and their distance in Å.
Positions (direct):
Nb  0.1682  0.3318  0.0000  6 Ge 2.59-2.74
Nb  0.3318  0.8318  0.0000  6 Ge 2.59-2.74
Nb  0.6682  0.1682  0.0000  6 Ge 2.59-2.74
Nb  0.8318  0.6682  0.0000  6 Ge 2.59-2.74
V  0.0000  0.0000  0.5000  4 Ge 2.59
V  0.5000  0.5000  0.5000  4 Ge 2.59
Ge  0.1366  0.6366  0.5000  1 Ge 2.57, 2 V 2.59, 6 Nb 2.59-2.74
Ge  0.3634  0.1366  0.5000  1 Ge 2.57, 2 V 2.59, 6 Nb 2.59-2.74
Ge  0.6366  0.8634  0.5000  1 Ge 2.57, 2 V 2.59, 6 Nb 2.59-2.74
Ge  0.8634  0.3634  0.5000  1 Ge 2.57, 2 V 2.59, 6 Nb 2.59-2.74

=====

No. 6
A plane-wave DFT calculation with PBE-GGA was carried out for crystalline NbVGe2 at its relaxed geometry.

Computed properties:
- DOS at the Fermi energy (states/eV per cell) = 2.32
- raw total energy (eV/f.u.) = -27.74
- total moment (Bohr magnetons per cell) = 0.000

a b c (Å): 9.7445 9.7445 9.7445
angles (deg): 16.87 16.87 16.87
Last column: nearest neighbours and their distance in Å.
Positions (direct):
Nb  0.0000  0.0000  0.0000  2 Ge 2.72, 6 Nb 2.86
V  0.5000  0.5000  0.5000  6 Ge 2.66, 6 V 2.86
Ge  0.0945  0.0945  0.0945  3 V 2.66, 1 Nb 2.72, 6 Ge 2.86
Ge  0.9055  0.9055  0.9055  3 V 2.66, 1 Nb 2.72, 6 Ge 2.86

=====

No. 7
A plane-wave DFT calculation with PBE-GGA was carried out for crystalline Nb3V4Ge2 at its relaxed geometry.

Computed properties:
- DOS at the Fermi energy (states/eV per cell) = 9.23
- raw total energy (eV/f.u.) = -77.16
- total moment (Bohr magnetons per cell) = 0.001

a b c (Å): 5.1345 5.1345 6.9619
angles (deg): 101.89 101.89 51.51
Last column: nearest neighbours and their distance in Å.
Positions (direct):
Nb  0.0000  0.0000  0.0000  2 Ge 2.67, 6 V 2.72-2.76
Nb  0.4401  0.4401  0.6651  4 V 2.61-2.89, 1 Nb 2.77, 3 Ge 2.78-2.79
Nb  0.5599  0.5599  0.3349  4 V 2.61-2.89, 1 Nb 2.77, 3 Ge 2.78-2.79
V  0.1073  0.1073  0.6617  2 V 2.64, 2 Ge 2.65, 3 Nb 2.72-2.76
V  0.3284  0.3284  0.9779  1 Ge 2.61, 4 Nb 2.61-2.89, 3 V 2.64-2.72
V  0.6716  0.6716  0.0221  1 Ge 2.61, 4 Nb 2.61-2.89, 3 V 2.64-2.72
V  0.8927  0.8927  0.3383  2 V 2.64, 2 Ge 2.65, 3 Nb 2.72-2.76
Ge  0.2347  0.2347  0.3048  3 V 2.61-2.65, 4 Nb 2.67-2.79
Ge  0.7653  0.7653  0.6952  3 V 2.61-2.65, 4 Nb 2.67-2.79

=====

No. 8
A plane-wave DFT calculation with PBE-GGA was carried out for crystalline NbVGe at its relaxed geometry.

Computed properties:
- DOS at the Fermi energy (states/eV per cell) = 4.09
- raw total energy (eV/f.u.) = -24.75
- total moment (Bohr magnetons per cell) = 0.323

a b c (Å): 3.3514 4.0029 7.0992
angles (deg): 90.00 90.00 90.00
Last column: nearest neighbours and their distance in Å.
Positions (direct):
Nb  0.0000  0.0000  0.0000  5 Ge 2.61-2.67
Nb  0.0000  0.5000  0.3731  4 V 2.62, 4 Ge 2.68-2.72
V  0.5000  0.0000  0.3449  4 Nb 2.62, 4 Ge 2.64-2.75
V  0.5000  0.5000  0.7134  5 Ge 2.60-2.67
Ge  0.0000  0.0000  0.6322  3 Nb 2.61-2.72, 6 V 2.64-2.67
Ge  0.5000  0.5000  0.0793  3 V 2.60-2.75, 6 Nb 2.67-2.68

=====

No. 9
A plane-wave DFT calculation with PBE-GGA was carried out for crystalline NbVGe at its relaxed geometry.

Computed properties:
- DOS at the Fermi energy (states/eV per cell) = 3.18
- raw total energy (eV/f.u.) = -24.60
- total moment (Bohr magnetons per cell) = 0.000

a b c (Å): 4.7727 4.7727 5.3950
angles (deg): 100.72 100.72 51.41
Last column: nearest neighbours and their distance in Å.
Positions (direct):
Nb  0.0000  0.0000  0.0000  4 V 2.66-2.86, 4 Ge 2.77
Nb  0.6991  0.6991  0.3176  5 Ge 2.66-2.80, 3 V 2.71-2.93
V  0.0157  0.0157  0.5126  1 V 2.60, 4 Ge 2.65-2.66, 3 Nb 2.66-2.74
V  0.3188  0.3188  0.7097  1 V 2.60, 5 Ge 2.65-2.82, 2 Nb 2.86
Ge  0.3775  0.3775  0.2437  5 Nb 2.66-2.77, 4 V 2.66-2.82
Ge  0.6432  0.6432  0.7877  5 V 2.65-2.73, 4 Nb 2.68-2.80

=====

No. 10
A plane-wave DFT calculation with PBE-GGA was carried out for crystalline Nb2VGe2 at its relaxed geometry.

Computed properties:
- DOS at the Fermi energy (states/eV per cell) = 7.22
- raw total energy (eV/f.u.) = -39.56
- total moment (Bohr magnetons per cell) = 0.000

a b c (Å): 8.0076 8.0076 6.1247
angles (deg): 90.00 90.00 154.06
Last column: nearest neighbours and their distance in Å.
Positions (direct):
Nb  0.0209  0.9791  0.5000  5 Ge 2.62-2.71, 4 V 2.86-2.87
Nb  0.1879  0.8121  0.1071  4 Ge 2.63-2.65, 2 V 2.94
Nb  0.8121  0.1879  0.6071  4 Ge 2.63-2.65, 2 V 2.94
Nb  0.9791  0.0209  0.0000  5 Ge 2.62-2.71, 4 V 2.86-2.87
V  0.4004  0.5996  0.3022  4 Ge 2.51-2.75
V  0.5996  0.4004  0.8022  4 Ge 2.51-2.75
Ge  0.1875  0.8125  0.6244  2 V 2.51, 3 Nb 2.65-2.71
Ge  0.4266  0.5734  0.7188  2 V 2.58-2.75, 6 Nb 2.62-2.68
Ge  0.5734  0.4266  0.2188  2 V 2.58-2.75, 6 Nb 2.62-2.68
Ge  0.8125  0.1875  0.1244  2 V 2.51, 3 Nb 2.65-2.71

=====

No. 11
A plane-wave DFT calculation with PBE-GGA was carried out for crystalline NbV2Ge at its relaxed geometry.

Computed properties:
- DOS at the Fermi energy (states/eV per cell) = 11.03
- raw total energy (eV/f.u.) = -32.99
- total moment (Bohr magnetons per cell) = 0.000

a b c (Å): 9.6791 9.6791 9.6791
angles (deg): 160.44 123.84 60.06
Last column: nearest neighbours and their distance in Å.
Positions (direct):
Nb  0.1766  0.1766  0.0000  6 V 2.61-2.77, 4 Ge 2.79
Nb  0.2567  0.0000  0.2567  4 Ge 2.75, 8 V 3.01
Nb  0.7433  0.0000  0.7433  4 Ge 2.75, 8 V 3.01
Nb  0.8234  0.8234  0.0000  6 V 2.61-2.77, 4 Ge 2.79
V  0.0556  0.5556  0.5000  1 V 1.86
V  0.1534  0.7876  0.3659  1 V 2.44, 2 Ge 2.46
V  0.4217  0.7876  0.6341  1 V 2.44, 2 Ge 2.46
V  0.4282  0.4282  0.0000  1 V 2.41, 2 Ge 2.63
V  0.5718  0.5718  0.0000  1 V 2.41, 2 Ge 2.63
V  0.5783  0.2124  0.3659  1 V 2.44, 2 Ge 2.46
V  0.8466  0.2124  0.6341  1 V 2.44, 2 Ge 2.46
V  0.9444  0.4444  0.5000  1 V 1.86
Ge  0.1020  0.3691  0.7330  4 V 2.46-2.63, 2 Nb 2.75
Ge  0.3639  0.6309  0.7330  4 V 2.46-2.63, 2 Nb 2.75
Ge  0.6361  0.3691  0.2670  4 V 2.46-2.63, 2 Nb 2.75
Ge  0.8980  0.6309  0.2670  4 V 2.46-2.63, 2 Nb 2.75

=====

No. 12
A plane-wave DFT calculation with PBE-GGA was carried out for crystalline NbV12Ge6 at its relaxed geometry.

Computed properties:
- DOS at the Fermi energy (states/eV per cell) = 15.22
- raw total energy (eV/f.u.) = -145.56
- total moment (Bohr magnetons per cell) = 0.000

a b c (Å): 6.9513 6.9513 6.9513
angles (deg): 105.22 105.22 105.22
Last column: nearest neighbours and their distance in Å.
Positions (direct):
Nb  0.0000  0.0000  0.0000  6 V 3.01
V  0.1102  0.5000  0.8898  4 Ge 2.40-2.47, 1 V 2.43
V  0.1102  0.8898  0.5000  4 Ge 2.40-2.47, 1 V 2.43
V  0.1479  0.3918  0.3918  4 Ge 2.57-2.67, 4 V 2.69
V  0.3918  0.1479  0.3918  4 Ge 2.57-2.67, 4 V 2.69
V  0.3918  0.3918  0.1479  4 Ge 2.57-2.67, 4 V 2.69
V  0.5000  0.1102  0.8898  4 Ge 2.40-2.47, 1 V 2.43
V  0.5000  0.8898  0.1102  4 Ge 2.40-2.47, 1 V 2.43
V  0.6082  0.6082  0.8521  4 Ge 2.57-2.67, 4 V 2.69
V  0.6082  0.8521  0.6082  4 Ge 2.57-2.67, 4 V 2.69
V  0.8521  0.6082  0.6082  4 Ge 2.57-2.67, 4 V 2.69
V  0.8898  0.1102  0.5000  4 Ge 2.40-2.47, 1 V 2.43
V  0.8898  0.5000  0.1102  4 Ge 2.40-2.47, 1 V 2.43
Ge  0.2729  0.2729  0.7234  8 V 2.40-2.67
Ge  0.2729  0.7234  0.2729  8 V 2.40-2.67
Ge  0.2766  0.7271  0.7271  8 V 2.40-2.67
Ge  0.7234  0.2729  0.2729  8 V 2.40-2.67
Ge  0.7271  0.2766  0.7271  8 V 2.40-2.67
Ge  0.7271  0.7271  0.2766  8 V 2.40-2.67